Here is an optimized crystal structure of Co3O from OQMD. Energies are from GGA+U.

## Properties
symmetry	I4/mmm
excess energy over the best structure of this formula in the dataset	0.582	eV/atom

Lattice parameters (Å, degrees): 4.470 4.470 4.470 134.51 134.51 66.30
Positions (direct):
Co1 0.500 0.500 0.000
Co2 0.750 0.250 0.500
Co3 0.250 0.750 0.500
O1 0.000 0.000 0.000